First-principles (PBE with a Hubbard U) data for crystalline KNiIr2O at its relaxed geometry, as listed in Alexandria.

a b c (Å): 4.1299 4.1299 4.6271
angles (deg): 90.00 90.00 90.00
Space group P4/mmm (No. 123)
Unique sites:
K1 0.0000 0.0000 0.0000 x1
Ni1 0.5000 0.5000 0.0000 x1
Ir1 0.0000 0.5000 0.5000 x2
O1 0.5000 0.5000 0.5000 x1

As for the raw total energy: -4.225 eV per atom. The value obtained for the total magnetization is 0.256 μB/atom. Its density is 10.5 g cm⁻³.